[1]
Here is crystalline LiCuI3 at its relaxed geometry from Alexandria. Energies are from PBE.

Cell: 5.5178 5.5178 5.5178 Å, 90.00 90.00 90.00°
With the nearest neighbours (Å) after each atom.
Fractional coordinates of all 5 atoms:
1 Li 0.0000 0.0000 0.0000  12 I 3.90
2 Cu 0.5000 0.5000 0.5000  6 I 2.76
3 I 0.0000 0.5000 0.5000  2 Cu 2.76
4 I 0.5000 0.0000 0.5000  2 Cu 2.76
5 I 0.5000 0.5000 0.0000  2 Cu 2.76

Calculated values
energy above the lowest structure with this stoichiometry	1.03	eV/f.u.
total DFT energy (no corrections)	-11.9	eV per cell
space-group type	No. 221
total magnetic moment	0.000	μB/f.u.



[2]
Here is crystalline Li2CuI4 at its relaxed geometry from Alexandria. Energies are from PBE.

Cell: 14.5460 4.3155 7.1668 Å, 90.00 115.51 90.00°
With the nearest neighbours (Å) after each atom.
Fractional coordinates of all 14 atoms:
1 Li 0.2382 0.0000 0.2689  6 I 2.89-3.07
2 Li 0.2618 0.5000 0.7311  6 I 2.89-3.07
3 Li 0.7382 0.5000 0.2689  6 I 2.89-3.07
4 Li 0.7618 0.0000 0.7311  6 I 2.89-3.07
5 Cu 0.0000 0.5000 0.5000  2 I 2.58
6 Cu 0.5000 0.0000 0.5000  2 I 2.58
7 I 0.1126 0.5000 0.3033  1 Cu 2.58
8 I 0.1350 0.0000 0.7939  3 Li 3.00-3.07, 2 Cu 3.06
9 I 0.3650 0.5000 0.2061  3 Li 3.00-3.07, 2 Cu 3.06
10 I 0.3874 0.0000 0.6967  1 Cu 2.58
11 I 0.6126 0.0000 0.3033  1 Cu 2.58
12 I 0.6350 0.5000 0.7939  3 Li 3.00-3.07, 2 Cu 3.06
13 I 0.8650 0.0000 0.2061  3 Li 3.00-3.07, 2 Cu 3.06
14 I 0.8874 0.5000 0.6967  1 Cu 2.58

Calculated values
energy above the lowest structure with this stoichiometry	0.31	eV/f.u.
total DFT energy (no corrections)	-37.1	eV per cell
space-group type	No. 12
total magnetic moment	0.002	μB/f.u.



[3]
Here is crystalline LiCu3I at its relaxed geometry from Alexandria. Energies are from PBE.

Cell: 5.0669 5.0669 5.0669 Å, 90.00 90.00 90.00°
With the nearest neighbours (Å) after each atom.
Fractional coordinates of all 5 atoms:
1 Li 0.0000 0.0000 0.0000  12 Cu 3.58
2 Cu 0.0000 0.5000 0.5000  2 I 2.53
3 Cu 0.5000 0.0000 0.5000  2 I 2.53
4 Cu 0.5000 0.5000 0.0000  2 I 2.53
5 I 0.5000 0.5000 0.5000  6 Cu 2.53

Calculated values
energy above the lowest structure with this stoichiometry	1.11	eV/f.u.
total DFT energy (no corrections)	-10.9	eV per cell
space-group type	No. 221
total magnetic moment	0.000	μB/f.u.



[4]
Here is crystalline Li2CuI at its relaxed geometry from Alexandria. Energies are from PBE.

Cell: 6.9561 6.9561 6.9561 Å, 90.00 90.00 90.00°
With the nearest neighbours (Å) after each atom.
Fractional coordinates of all 16 atoms:
1 Li 0.2500 0.2500 0.2500  4 Cu 3.01, 4 I 3.01
2 Li 0.2500 0.2500 0.7500  4 Cu 3.01, 4 I 3.01
3 Li 0.2500 0.7500 0.2500  4 Cu 3.01, 4 I 3.01
4 Li 0.2500 0.7500 0.7500  4 Cu 3.01, 4 I 3.01
5 Li 0.7500 0.2500 0.2500  4 Cu 3.01, 4 I 3.01
6 Li 0.7500 0.2500 0.7500  4 Cu 3.01, 4 I 3.01
7 Li 0.7500 0.7500 0.2500  4 Cu 3.01, 4 I 3.01
8 Li 0.7500 0.7500 0.7500  4 Cu 3.01, 4 I 3.01
9 Cu 0.0000 0.0000 0.0000  8 Li 3.01
10 Cu 0.0000 0.5000 0.5000  8 Li 3.01
11 Cu 0.5000 0.0000 0.5000  8 Li 3.01
12 Cu 0.5000 0.5000 0.0000  8 Li 3.01
13 I 0.0000 0.0000 0.5000  8 Li 3.01
14 I 0.0000 0.5000 0.0000  8 Li 3.01
15 I 0.5000 0.0000 0.0000  8 Li 3.01
16 I 0.5000 0.5000 0.5000  8 Li 3.01

Calculated values
energy above the lowest structure with this stoichiometry	0.30	eV/f.u.
total DFT energy (no corrections)	-40.4	eV per cell
space-group type	No. 225
total magnetic moment	0.000	μB/f.u.



[5]
Here is crystalline LiCuI4 at its relaxed geometry from Alexandria. Energies are from PBE.

Cell: 12.4911 12.4911 6.7500 Å, 105.62 105.62 26.23°
With the nearest neighbours (Å) after each atom.
Fractional coordinates of all 12 atoms:
1 Li 0.2417 0.2417 0.1892  5 I 2.85-2.90
2 Li 0.7583 0.7583 0.8108  5 I 2.85-2.90
3 Cu 0.1320 0.1320 0.5802  5 I 2.61-2.84
4 Cu 0.8680 0.8680 0.4198  5 I 2.61-2.84
5 I 0.0395 0.0395 0.7076  1 Cu 2.62, 1 I 2.93
6 I 0.1236 0.1236 0.1756  1 Cu 2.68, 1 Li 2.85
7 I 0.2417 0.2417 0.7600  1 Cu 2.61, 3 Li 2.87-2.90
8 I 0.3612 0.3612 0.3919  2 Cu 2.84, 1 Li 2.85
9 I 0.6388 0.6388 0.6081  2 Cu 2.84, 1 Li 2.85
10 I 0.7583 0.7583 0.2400  1 Cu 2.61, 3 Li 2.87-2.90
11 I 0.8764 0.8764 0.8244  1 Cu 2.68, 1 Li 2.85
12 I 0.9605 0.9605 0.2924  1 Cu 2.62, 1 I 2.93

Calculated values
total DFT energy (no corrections)	-28.9	eV per cell
space-group type	No. 12
total magnetic moment	0.000	μB/f.u.



[6]
Here is crystalline LiCuI4 at its relaxed geometry from Alexandria. Energies are from PBE.

Cell: 8.2390 8.2390 8.4238 Å, 90.00 90.00 114.53°
With the nearest neighbours (Å) after each atom.
Fractional coordinates of all 12 atoms:
1 Li 0.1717 0.1717 0.0000  2 I 2.75
2 Li 0.8283 0.8283 0.5000  2 I 2.75
3 Cu 0.2568 0.7432 0.7500  4 I 2.56-2.61
4 Cu 0.7432 0.2568 0.2500  4 I 2.56-2.61
5 I 0.1329 0.8241 0.0018  1 Cu 2.56, 1 Li 2.75
6 I 0.1759 0.8671 0.4982  1 Cu 2.56, 1 Li 2.75
7 I 0.2472 0.4278 0.6917  1 Cu 2.61
8 I 0.4278 0.2472 0.3083  1 Cu 2.61
9 I 0.5722 0.7528 0.8083  1 Cu 2.61
10 I 0.7528 0.5722 0.1917  1 Cu 2.61
11 I 0.8241 0.1329 0.9982  1 Cu 2.56, 1 Li 2.75
12 I 0.8671 0.1759 0.5018  1 Cu 2.56, 1 Li 2.75

Calculated values
total DFT energy (no corrections)	-28.5	eV per cell
space-group type	No. 20
total magnetic moment	0.000	μB/f.u.